1.
The following is a PBE calculation of an optimized crystal structure of K2TlOsO6, from OQMD.

Geometry as POSCAR:
```
K2TlOsO6
1.0
-5.096 -1.451 -2.380
-4.140 4.019 -0.674
-1.368 1.898 -5.317
K O Os Tl
2 6 1 1
Cartesian
-2.651 1.117 -2.093
-7.953 3.350 -6.278
-5.191 0.244 -3.211
-4.674 3.197 -2.289
-7.426 2.414 -3.574
-3.178 2.052 -4.796
-5.929 1.269 -6.081
-5.413 4.222 -5.160
0.000 0.000 0.000
-5.302 2.233 -4.185
```

Values from the calculation:
**Space-group type**: No. 225
**Final energy**: -5.63 eV per atom
**ρ**: 6.815 g cm⁻³

***

2.
The following is a PBE calculation of an optimized crystal structure of CsTc, from OQMD.

Geometry as POSCAR:
```
CsTc
1.0
-2.164 -4.823 -0.163
-2.587 -1.881 4.212
-5.260 -0.535 -0.149
Cs Tc
1 1
Cartesian
0.000 0.000 0.000
-5.006 -3.620 1.950
```

Values from the calculation:
**Space-group type**: No. 225
**Final energy**: -3.04 eV per atom
**ρ**: 3.665 g cm⁻³

***

3.
The following is a PBE calculation of an optimized crystal structure of Sc2Co3W4N3, from OQMD.

Geometry as POSCAR:
```
Sc2Co3W4N3
1.0
4.495 -2.595 0.000
4.495 2.595 0.000
-2.998 0.000 12.902
Co N Sc W
6 6 4 8
Cartesian
5.941 -0.826 3.226
3.746 -2.218 3.226
1.551 -0.826 3.226
4.442 0.826 9.677
2.247 2.218 9.677
0.052 0.826 9.677
2.248 1.297 0.000
5.180 1.186 0.004
2.311 1.186 6.448
0.749 -1.297 6.451
3.682 -1.186 6.455
0.812 -1.186 12.899
3.750 0.429 1.608
3.742 0.429 4.843
2.251 -0.429 8.060
2.243 -0.429 11.294
6.724 0.437 1.157
0.729 0.444 1.161
6.763 0.444 5.290
0.768 0.437 5.294
5.225 -0.437 7.608
-0.770 -0.444 7.612
5.264 -0.444 11.741
-0.731 -0.437 11.745
```

Values from the calculation:
**Space-group type**: No. 15
**Final energy**: -9.62 eV per atom
**ρ**: 11.520 g cm⁻³

***

4.
The following is a PBE calculation of an optimized crystal structure of LaErFe2Ge2C, from OQMD.

Geometry as POSCAR:
```
LaErFe2Ge2C
1.0
-3.530 1.459 4.372
0.209 0.782 5.749
2.577 4.319 -4.874
C Er Fe Ge La
1 1 2 2 1
Cartesian
0.024 0.079 -0.025
-1.110 2.458 4.223
-0.420 0.818 1.542
-0.323 5.768 3.713
-2.052 3.055 7.073
1.297 3.477 -1.811
0.351 4.026 1.025
```

Values from the calculation:
**Space-group type**: No. 8
**Final energy**: -6.92 eV per atom
**ρ**: 8.002 g cm⁻³

***

5.
The following is a PBE calculation of an optimized crystal structure of LaNd2O3, from OQMD.

Geometry as POSCAR:
```
LaNd2O3
1.0
-3.262 -1.441 -0.243
2.129 -0.849 2.742
-3.286 6.662 4.613
La Nd O
1 2 3
Cartesian
0.000 0.000 0.000
-2.563 0.983 2.294
-1.856 3.389 4.819
-0.244 0.122 2.556
-1.643 3.331 2.307
-4.175 4.250 4.557
```

Values from the calculation:
**Space-group type**: No. 164
**Final energy**: -7.66 eV per atom
**ρ**: 8.160 g cm⁻³

***

6.
The following is a PBE calculation of an optimized crystal structure of Cs2LiCdF6, from OQMD.

Geometry as POSCAR:
```
Cs2LiCdF6
1.0
5.278 2.764 0.708
-2.610 4.103 3.515
-0.532 -5.836 1.288
Cd Cs F Li
1 2 6 1
Cartesian
0.000 0.000 0.000
3.040 0.181 2.054
-0.904 0.850 3.457
0.689 1.774 1.091
1.979 5.093 3.132
3.241 3.105 1.441
1.712 2.275 3.757
0.424 -1.244 1.754
-1.104 -2.074 4.069
1.334 3.433 2.111
```

Values from the calculation:
**Space-group type**: No. 87
**Final energy**: -3.88 eV per atom
**E above lowest polymorph**: 3 kJ/mol of formula units
**ρ**: 5.432 g cm⁻³

***

7.
The following is a PBE calculation of an optimized crystal structure of K2ZnHgAs2, from OQMD.

Geometry as POSCAR:
```
K2ZnHgAs2
1.0
-1.604 4.159 0.251
-2.049 -3.032 -2.556
-5.863 -2.741 7.950
As Hg K Zn
2 1 2 1
Cartesian
-1.901 -0.635 -1.621
-2.931 -1.370 3.975
0.000 0.000 0.000
-3.231 1.071 1.320
-6.137 -0.288 5.260
-4.832 -2.006 2.354
```

Values from the calculation:
**Space-group type**: No. 187
**Final energy**: -2.57 eV per atom
**ρ**: 4.637 g cm⁻³

***

8.
The following is a PBE calculation of an optimized crystal structure of ZrTl2Te3, from OQMD.

Geometry as POSCAR:
```
ZrTl2Te3
1.0
2.056 -7.801 0.000
2.056 7.801 0.000
0.000 0.000 12.679
Te Tl Zr
6 4 2
Cartesian
2.056 -2.049 0.006
2.056 7.733 3.170
2.056 -2.049 6.334
2.056 2.049 6.345
2.056 -7.733 9.510
2.056 2.049 12.674
2.056 -2.561 3.170
2.056 2.375 3.170
2.056 -2.375 9.510
2.056 2.561 9.510
0.000 0.000 0.000
0.000 0.000 6.340
```

Values from the calculation:
**Space-group type**: No. 63
**Final energy**: -4.28 eV per atom
**E above lowest polymorph**: 65 kJ/mol of formula units
**ρ**: 7.209 g cm⁻³